No. 1
## GdAgSe2 (GGA-PBE)

Data for a relaxed GdAgSe2 crystal.

Calculated values
Calculated total energy = -7.172 eV per atom
Calculated volume = 24.794 Å³/atom
Raw formation energy = -4.79 eV per formula unit

Cell lengths 4.1249, 4.1249, 6.7305 Å; angles 90.00, 90.00, 120.00 degrees
Space group P-3m1 (No. 164)
Asymmetric unit:
Gd1 0.0000 0.0000 0.0000 [1 per cell]
Ag1 0.0000 0.0000 0.5000 [1 per cell]
Se1 0.3333 0.6667 0.2486 [2 per cell]

No. 2
## GdSiAg (GGA-PBE)

Data for a relaxed GdSiAg crystal.

Calculated values
Calculated total energy = -8.028 eV per atom
Calculated volume = 20.617 Å³/atom
Raw formation energy = -1.73 eV per formula unit

Cell lengths 7.1143, 7.1143, 4.2331 Å; angles 90.00, 90.00, 120.00 degrees
Space group P-62m (No. 189)
Asymmetric unit:
Gd1 0.0000 0.4173 0.0000 [3 per cell]
Si1 0.0000 0.0000 0.0000 [1 per cell]
Si2 0.3333 0.6667 0.5000 [2 per cell]
Ag1 0.0000 0.7508 0.5000 [3 per cell]

No. 3
## GdSiAg (GGA-PBE)

Data for a relaxed GdSiAg crystal.

Calculated values
Calculated total energy = -7.842 eV per atom
Calculated volume = 23.340 Å³/atom
Raw formation energy = -1.17 eV per formula unit

Cell lengths 6.543, 6.543, 6.543 Å; angles 90.00, 90.00, 90.00 degrees
Space group F-43m (No. 216)
Asymmetric unit:
Gd1 0.000 0.000 0.000 [4 per cell]
Si1 0.250 0.250 0.750 [4 per cell]
Ag1 0.000 0.000 0.500 [4 per cell]

No. 4
## GdSiAg (GGA-PBE)

Data for a relaxed GdSiAg crystal.

Calculated values
Calculated total energy = -7.947 eV per atom
Calculated volume = 21.136 Å³/atom
Raw formation energy = -1.49 eV per formula unit

Cell lengths 4.4177, 4.4177, 3.7516 Å; angles 90.00, 90.00, 120.00 degrees
Space group P-6m2 (No. 187)
Asymmetric unit:
Gd1 0.0000 0.0000 0.0000 [1 per cell]
Si1 0.6667 0.3333 0.5000 [1 per cell]
Ag1 0.3333 0.6667 0.5000 [1 per cell]

No. 5
## Gd2SiAg (GGA-PBE)

Data for a relaxed Gd2SiAg crystal.

Calculated values
Calculated total energy = -9.559 eV per atom
Calculated volume = 23.448 Å³/atom
Raw formation energy = -1.80 eV per formula unit

Cell lengths 5.025, 5.025, 3.714 Å; angles 90.00, 90.00, 90.00 degrees
Space group P4/mmm (No. 123)
Asymmetric unit:
Gd1 0.000 0.500 0.000 [2 per cell]
Si1 0.000 0.000 0.500 [1 per cell]
Ag1 0.500 0.500 0.500 [1 per cell]

No. 6
## SmGdSiAg (GGA-PBE)

Data for a relaxed SmGdSiAg crystal.

Calculated values
Calculated total energy = -7.215 eV per atom
Calculated volume = 23.766 Å³/atom
Raw formation energy = -1.79 eV per formula unit

Cell lengths 7.245, 7.245, 7.245 Å; angles 90.00, 90.00, 90.00 degrees
Space group F-43m (No. 216)
Asymmetric unit:
Sm1 0.000 0.000 0.000 [4 per cell]
Gd1 0.000 0.000 0.500 [4 per cell]
Si1 0.250 0.250 0.750 [4 per cell]
Ag1 0.250 0.250 0.250 [4 per cell]

No. 7
## SrGdSiAg (GGA-PBE)

Data for a relaxed SrGdSiAg crystal.

Calculated values
Calculated total energy = -6.348 eV per atom
Calculated volume = 25.745 Å³/atom
Raw formation energy = -1.36 eV per formula unit

Cell lengths 7.440, 7.440, 7.440 Å; angles 90.00, 90.00, 90.00 degrees
Space group F-43m (No. 216)
Asymmetric unit:
Sr1 0.000 0.000 0.000 [4 per cell]
Gd1 0.000 0.000 0.500 [4 per cell]
Si1 0.250 0.250 0.250 [4 per cell]
Ag1 0.250 0.250 0.750 [4 per cell]

No. 8
## GdThSiAg (GGA-PBE)

Data for a relaxed GdThSiAg crystal.

Calculated values
Calculated total energy = -7.758 eV per atom
Calculated volume = 24.306 Å³/atom
Raw formation energy = -1.26 eV per formula unit

Cell lengths 7.299, 7.299, 7.299 Å; angles 90.00, 90.00, 90.00 degrees
Space group F-43m (No. 216)
Asymmetric unit:
Gd1 0.000 0.000 0.000 [4 per cell]
Th1 0.000 0.000 0.500 [4 per cell]
Si1 0.250 0.250 0.250 [4 per cell]
Ag1 0.250 0.250 0.750 [4 per cell]